Computed, not measured: a geometry-optimized TeAs2 structure at the GGA-PBEsol level of DFT.

```
TeAs2
1.0
3.451 0.000 0.000
0.000 5.193 0.000
-1.726 0.000 8.436
As Te
4 2
Direct
0.582 0.250 0.164 As
0.812 0.750 0.624 As
0.188 0.250 0.376 As
0.418 0.750 0.836 As
0.888 0.250 0.776 Te
0.112 0.750 0.224 Te
```

Properties
SG = Cmcm (63)
Final energy = -4.322 eV/atom
Formation energy from raw total energies = 0.26 eV per atom

Computed, not measured: a geometry-optimized MgCd3Br structure at the GGA-PBEsol level of DFT.

```
MgCd3Br
1.0
5.546 0.000 0.000
0.000 5.546 0.000
0.000 0.000 5.546
Cd Br Mg
3 1 1
Direct
0.000 0.500 0.000 Cd
0.000 0.000 0.500 Cd
0.500 0.000 0.000 Cd
0.000 0.000 0.000 Br
0.500 0.500 0.500 Mg
```

Properties
SG = Pm-3m (221)
Final energy = -0.881 eV/atom
Formation energy from raw total energies = 0.55 eV per atom

Computed, not measured: a geometry-optimized KZr4Al structure at the GGA-PBEsol level of DFT.

```
KZr4Al
1.0
-3.898 -4.149 1.447
-1.207 -4.339 -3.771
1.817 -5.469 1.137
Zr K Al
4 1 1
Direct
0.377 0.377 0.870 Zr
0.377 0.377 0.377 Zr
0.377 0.870 0.377 Zr
0.870 0.377 0.377 Zr
0.000 0.000 0.000 K
0.750 0.750 0.750 Al
```

Properties
SG = F-43m (216)
Energy of formation from the pure elements = 3.83 eV per formula unit
Final energy = -6.292 eV/atom

Computed, not measured: a geometry-optimized CaCdTc2 structure at the GGA-PBEsol level of DFT.

```
CaCdTc2
1.0
-0.204 -2.776 -1.334
2.294 0.755 -1.922
5.220 -2.841 5.112
Tc Ca Cd
2 1 1
Direct
0.000 0.000 0.037 Tc
0.500 0.500 0.198 Tc
0.000 0.000 0.475 Ca
0.500 0.500 0.789 Cd
```

Properties
SG = P4mm (99)
Energy of formation from the pure elements = 0.56 eV per formula unit
Final energy = -6.326 eV/atom

Repeat the third record exactly.
Computed, not measured: a geometry-optimized KZr4Al structure at the GGA-PBEsol level of DFT.

```
KZr4Al
1.0
-3.898 -4.149 1.447
-1.207 -4.339 -3.771
1.817 -5.469 1.137
Zr K Al
4 1 1
Direct
0.377 0.377 0.870 Zr
0.377 0.377 0.377 Zr
0.377 0.870 0.377 Zr
0.870 0.377 0.377 Zr
0.000 0.000 0.000 K
0.750 0.750 0.750 Al
```

Properties
SG = F-43m (216)
Energy of formation from the pure elements = 3.83 eV per formula unit
Final energy = -6.292 eV/atom